# 1
# Pr4Cd3Rh

A relaxed Pr4Cd3Rh crystal (GGA-PBE, the Alexandria database).

```
8
Lattice="-1.790 -1.151 3.096 -0.787 -3.271 -1.671 13.330 -6.005 5.473" Properties=species:S:1:pos:R:3 pbc="T T T"
Pr 4.939 -2.225 2.028
Pr 11.921 -5.370 4.895
Pr 1.409 -0.635 0.579
Cd 1.938 -3.664 2.037
Cd 5.376 -5.213 3.449
Pr 8.390 -3.780 3.445
Rh -1.289 -2.211 0.713
Cd 8.815 -6.762 4.861
```

Results
**Formation energy**: -8.92 kcal/mol of atoms
**D(E_F)**: 0.984 states/eV per atom
**Calculated volume**: 220 Å³ per cell

# 2
# Pr3Cd2Rh3

A relaxed Pr3Cd2Rh3 crystal (GGA-PBE, the Alexandria database).

```
16
Lattice="5.923 0.000 0.000 0.000 7.352 -4.244 0.000 0.000 8.489" Properties=species:S:1:pos:R:3 pbc="T T T"
Cd 0.000 2.451 4.244
Rh 1.481 0.000 3.307
Pr 4.442 0.000 2.333
Cd 2.961 4.901 0.000
Pr 1.481 2.021 1.167
Rh 1.481 4.487 2.591
Rh 4.442 4.487 -2.591
Cd 0.000 4.901 0.000
Cd 2.961 2.451 4.244
Pr 4.442 2.021 -1.167
Rh 1.481 2.864 -1.654
Rh 4.442 0.000 5.182
Pr 4.442 5.331 3.078
Rh 4.442 2.864 1.654
Pr 1.481 0.000 6.155
Pr 1.481 5.331 -3.078
```

Results
**Formation energy**: -11.38 kcal/mol of atoms
**D(E_F)**: 0.625 states/eV per atom
**Calculated volume**: 370 Å³ per cell

# 3
# PrCdRh

A relaxed PrCdRh crystal (GGA-PBE, the Alexandria database).

```
3
Lattice="-0.128 1.655 -3.383 2.996 -3.177 -1.668 -4.603 -0.790 -0.212" Properties=species:S:1:pos:R:3 pbc="T T T"
Rh -0.022 0.279 -0.569
Cd -2.091 -1.311 -1.258
Pr 0.378 -1.279 -3.436
```

Results
**Formation energy**: -8.43 kcal/mol of atoms
**D(E_F)**: 0.716 states/eV per atom
**Calculated volume**: 71 Å³ per cell

Repeat the second record exactly.
# Pr3Cd2Rh3

A relaxed Pr3Cd2Rh3 crystal (GGA-PBE, the Alexandria database).

```
16
Lattice="5.923 0.000 0.000 0.000 7.352 -4.244 0.000 0.000 8.489" Properties=species:S:1:pos:R:3 pbc="T T T"
Cd 0.000 2.451 4.244
Rh 1.481 0.000 3.307
Pr 4.442 0.000 2.333
Cd 2.961 4.901 0.000
Pr 1.481 2.021 1.167
Rh 1.481 4.487 2.591
Rh 4.442 4.487 -2.591
Cd 0.000 4.901 0.000
Cd 2.961 2.451 4.244
Pr 4.442 2.021 -1.167
Rh 1.481 2.864 -1.654
Rh 4.442 0.000 5.182
Pr 4.442 5.331 3.078
Rh 4.442 2.864 1.654
Pr 1.481 0.000 6.155
Pr 1.481 5.331 -3.078
```

Results
**Formation energy**: -11.38 kcal/mol of atoms
**D(E_F)**: 0.625 states/eV per atom
**Calculated volume**: 370 Å³ per cell

Which formula does entry 2 have?
Pr3Cd2Rh3

The lowest formation energy belongs to which entry?
Pr3Cd2Rh3

The highest calculated volume belongs to which entry?
Pr3Cd2Rh3